Entry 1:
Computed, not measured: TlAs2Pb after structural relaxation at the PBEsol level of DFT.

Structure (CIF):
```
data_TlAs2Pb
_chemical_formula_sum 'Tl2 As4 Pb2'
_cell_length_a 11.1611
_cell_length_b 3.5687
_cell_length_c 5.6633
_cell_angle_alpha 90.00
_cell_angle_beta 108.34
_cell_angle_gamma 90.00
_symmetry_space_group_name_H-M 'C 1 2/m 1'
_symmetry_Int_Tables_number 12
loop_
_symmetry_equiv_pos_as_xyz
'x,y,z'
'-x,-y,-z'
'-x,y,-z'
'x,-y,z'
'x+1/2,y+1/2,z'
'-x+1/2,-y+1/2,-z'
'-x+1/2,y+1/2,-z'
'x+1/2,-y+1/2,z'
loop_
_atom_site_label
_atom_site_fract_x
_atom_site_fract_y
_atom_site_fract_z
Tl1 0.0000 0.0000 0.0000
As1 0.2497 0.0000 0.6566
Pb1 0.0000 0.5000 0.5000
```

- Final energy: -32.8 eV/cell
- Total moment: 0.0 Bohr magnetons per cell



Entry 2:
Computed, not measured: TlAsPb after structural relaxation at the PBEsol level of DFT.

Structure (CIF):
```
data_TlAsPb
_chemical_formula_sum 'Tl4 As4 Pb4'
_cell_length_a 7.0974
_cell_length_b 7.0974
_cell_length_c 7.0974
_cell_angle_alpha 90.00
_cell_angle_beta 90.00
_cell_angle_gamma 90.00
_symmetry_space_group_name_H-M 'F -4 3 m'
_symmetry_Int_Tables_number 216
_symmetry_space_group_name_Hall 'F -4 2 3'
loop_
_atom_site_label
_atom_site_fract_x
_atom_site_fract_y
_atom_site_fract_z
Tl1 0.0000 0.0000 0.0000
As1 0.2500 0.2500 0.7500
Pb1 0.0000 0.0000 0.5000
```

- Final energy: -46.4 eV/cell
- Total moment: 0.0 Bohr magnetons per cell



Entry 3:
Computed, not measured: TlAs2Pb after structural relaxation at the PBEsol level of DFT.

Structure (CIF):
```
data_TlAs2Pb
_chemical_formula_sum 'Tl2 As4 Pb2'
_cell_length_a 11.5115
_cell_length_b 3.5607
_cell_length_c 5.2329
_cell_angle_alpha 90.00
_cell_angle_beta 111.99
_cell_angle_gamma 90.00
_symmetry_space_group_name_H-M 'C 1 m 1'
_symmetry_Int_Tables_number 8
loop_
_symmetry_equiv_pos_as_xyz
'x,y,z'
'x,-y,z'
'x+1/2,y+1/2,z'
'x+1/2,-y+1/2,z'
loop_
_atom_site_label
_atom_site_fract_x
_atom_site_fract_y
_atom_site_fract_z
Tl1 0.0000 0.0000 0.0000
As1 0.2686 0.5000 0.2168
As2 0.4308 0.0000 0.4486
Pb1 0.2105 0.0000 0.6590
```

- Final energy: -33.1 eV/cell
- Total moment: 0.0 Bohr magnetons per cell



Entry 4:
Computed, not measured: Tl2AsPb after structural relaxation at the PBEsol level of DFT.

Structure (CIF):
```
data_Tl2AsPb
_chemical_formula_sum 'Tl4 As2 Pb2'
_cell_length_a 3.9486
_cell_length_b 4.8892
_cell_length_c 11.0579
_cell_angle_alpha 90.00
_cell_angle_beta 90.00
_cell_angle_gamma 90.00
_symmetry_space_group_name_H-M 'I m m m'
_symmetry_Int_Tables_number 71
_symmetry_space_group_name_Hall '-I 2 2'
loop_
_atom_site_label
_atom_site_fract_x
_atom_site_fract_y
_atom_site_fract_z
Tl1 0.0000 0.0000 0.2140
As1 0.0000 0.5000 0.5000
Pb1 0.0000 0.5000 0.0000
```

- Final energy: -28.2 eV/cell
- Total moment: 0.0 Bohr magnetons per cell



Entry 5:
Computed, not measured: TlAs2Pb after structural relaxation at the PBEsol level of DFT.

Structure (CIF):
```
data_TlAs2Pb
_chemical_formula_sum 'Tl3 As6 Pb3'
_cell_length_a 3.5920
_cell_length_b 3.5920
_cell_length_c 27.2321
_cell_angle_alpha 90.00
_cell_angle_beta 90.00
_cell_angle_gamma 120.00
_symmetry_space_group_name_H-M 'R 3 m'
_symmetry_Int_Tables_number 160
_symmetry_space_group_name_Hall 'R 3 -2"'
loop_
_atom_site_label
_atom_site_fract_x
_atom_site_fract_y
_atom_site_fract_z
Tl1 0.0000 0.0000 0.0000
As1 0.0000 0.0000 0.2424
As2 0.0000 0.0000 0.5232
Pb1 0.0000 0.0000 0.7659
```

- Final energy: -50.0 eV/cell
- Total moment: 0.0 Bohr magnetons per cell



Entry 6:
Computed, not measured: Tl2AsPb after structural relaxation at the PBEsol level of DFT.

Structure (CIF):
```
data_Tl2AsPb
_chemical_formula_sum 'Tl2 As1 Pb1'
_cell_length_a 4.5456
_cell_length_b 4.5456
_cell_length_c 5.1096
_cell_angle_alpha 90.00
_cell_angle_beta 90.00
_cell_angle_gamma 90.00
_symmetry_space_group_name_H-M 'P 4/m m m'
_symmetry_Int_Tables_number 123
_symmetry_space_group_name_Hall '-P 4 2'
loop_
_atom_site_label
_atom_site_fract_x
_atom_site_fract_y
_atom_site_fract_z
Tl1 0.0000 0.5000 0.0000
As1 0.0000 0.0000 0.5000
Pb1 0.5000 0.5000 0.5000
```

- Final energy: -14.1 eV/cell
- Total moment: 0.0 Bohr magnetons per cell



Entry 7:
Computed, not measured: Tl2AsPb after structural relaxation at the PBEsol level of DFT.

Structure (CIF):
```
data_Tl2AsPb
_chemical_formula_sum 'Tl2 As1 Pb1'
_cell_length_a 3.7306
_cell_length_b 3.7306
_cell_length_c 7.6880
_cell_angle_alpha 90.00
_cell_angle_beta 90.00
_cell_angle_gamma 90.00
_symmetry_space_group_name_H-M 'P 4 m m'
_symmetry_Int_Tables_number 99
loop_
_symmetry_equiv_pos_as_xyz
'x,y,z'
'-y,x,z'
'-x,-y,z'
'y,-x,z'
'-x,y,z'
'y,x,z'
'x,-y,z'
'-y,-x,z'
loop_
_atom_site_label
_atom_site_fract_x
_atom_site_fract_y
_atom_site_fract_z
Tl1 0.0000 0.0000 0.0000
Tl2 0.5000 0.5000 0.2831
As1 0.0000 0.0000 0.5177
Pb1 0.5000 0.5000 0.7107
```

- Final energy: -14.2 eV/cell
- Total moment: 0.0 Bohr magnetons per cell



Entry 8:
Computed, not measured: Tl2AsPb after structural relaxation at the PBEsol level of DFT.

Structure (CIF):
```
data_Tl2AsPb
_chemical_formula_sum 'Tl4 As2 Pb2'
_cell_length_a 3.9353
_cell_length_b 5.1648
_cell_length_c 10.6647
_cell_angle_alpha 90.00
_cell_angle_beta 90.00
_cell_angle_gamma 90.00
_symmetry_space_group_name_H-M 'I m m 2'
_symmetry_Int_Tables_number 44
loop_
_symmetry_equiv_pos_as_xyz
'x,y,z'
'-x,-y,z'
'-x,y,z'
'x,-y,z'
'x+1/2,y+1/2,z+1/2'
'-x+1/2,-y+1/2,z+1/2'
'-x+1/2,y+1/2,z+1/2'
'x+1/2,-y+1/2,z+1/2'
loop_
_atom_site_label
_atom_site_fract_x
_atom_site_fract_y
_atom_site_fract_z
Tl1 0.0000 0.0000 0.0000
Tl2 0.0000 0.5000 0.2132
As1 0.0000 0.5000 0.7314
Pb1 0.0000 0.0000 0.4271
```

- Final energy: -28.3 eV/cell
- Total moment: 0.0 Bohr magnetons per cell



Entry 9:
Computed, not measured: TlZnAs2Pb after structural relaxation at the PBEsol level of DFT.

Structure (CIF):
```
data_TlZnAs2Pb
_chemical_formula_sum 'Tl1 Zn1 As2 Pb1'
_cell_length_a 5.3108
_cell_length_b 5.3108
_cell_length_c 6.1247
_cell_angle_alpha 90.00
_cell_angle_beta 90.00
_cell_angle_gamma 90.00
_symmetry_space_group_name_H-M 'P 4/m m m'
_symmetry_Int_Tables_number 123
_symmetry_space_group_name_Hall '-P 4 2'
loop_
_atom_site_label
_atom_site_fract_x
_atom_site_fract_y
_atom_site_fract_z
Tl1 0.0000 0.0000 0.0000
Zn1 0.5000 0.5000 0.0000
As1 0.0000 0.5000 0.5000
Pb1 0.0000 0.0000 0.5000
```

- Final energy: -13.6 eV/cell
- Total moment: 0.0 Bohr magnetons per cell



Entry 10:
Computed, not measured: AsPbW2 after structural relaxation at the PBEsol level of DFT.

Structure (CIF):
```
data_AsPbW2
_chemical_formula_sum 'As1 Pb1 W2'
_cell_length_a 4.5730
_cell_length_b 4.5730
_cell_length_c 3.2557
_cell_angle_alpha 90.00
_cell_angle_beta 90.00
_cell_angle_gamma 90.00
_symmetry_space_group_name_H-M 'P 4/m m m'
_symmetry_Int_Tables_number 123
_symmetry_space_group_name_Hall '-P 4 2'
loop_
_atom_site_label
_atom_site_fract_x
_atom_site_fract_y
_atom_site_fract_z
As1 0.0000 0.0000 0.0000
Pb1 0.5000 0.5000 0.0000
W1 0.0000 0.5000 0.5000
```

- Final energy: -33.2 eV/cell
- Total moment: 0.0 Bohr magnetons per cell



Entry 11:
Computed, not measured: AsPbW2 after structural relaxation at the PBEsol level of DFT.

Structure (CIF):
```
data_AsPbW2
_chemical_formula_sum 'As2 Pb2 W4'
_cell_length_a 5.7369
_cell_length_b 8.8719
_cell_length_c 3.0945
_cell_angle_alpha 90.00
_cell_angle_beta 114.56
_cell_angle_gamma 90.00
_symmetry_space_group_name_H-M 'C 1 2/m 1'
_symmetry_Int_Tables_number 12
loop_
_symmetry_equiv_pos_as_xyz
'x,y,z'
'-x,-y,-z'
'-x,y,-z'
'x,-y,z'
'x+1/2,y+1/2,z'
'-x+1/2,-y+1/2,-z'
'-x+1/2,y+1/2,-z'
'x+1/2,-y+1/2,z'
loop_
_atom_site_label
_atom_site_fract_x
_atom_site_fract_y
_atom_site_fract_z
As1 0.0000 0.0000 0.0000
Pb1 0.0000 0.5000 0.0000
W1 0.2500 0.2500 0.5000
```

- Final energy: -65.0 eV/cell
- Total moment: 0.0 Bohr magnetons per cell



Entry 12:
Computed, not measured: ZrAs2PbW after structural relaxation at the PBEsol level of DFT.

Structure (CIF):
```
data_ZrAs2PbW
_chemical_formula_sum 'Zr1 As2 Pb1 W1'
_cell_length_a 5.0385
_cell_length_b 5.0385
_cell_length_c 5.4990
_cell_angle_alpha 90.00
_cell_angle_beta 90.00
_cell_angle_gamma 90.00
_symmetry_space_group_name_H-M 'P 4/m m m'
_symmetry_Int_Tables_number 123
_symmetry_space_group_name_Hall '-P 4 2'
loop_
_atom_site_label
_atom_site_fract_x
_atom_site_fract_y
_atom_site_fract_z
Zr1 0.0000 0.0000 0.0000
As1 0.0000 0.5000 0.0000
Pb1 0.0000 0.0000 0.5000
W1 0.5000 0.5000 0.5000
```

- Final energy: -29.8 eV/cell
- Total moment: 4.2 Bohr magnetons per cell



Question: final energy of number 1 (TlAs2Pb)?
Answer: -32.8 eV/cell